Compound: Sr2Li2Au
Source: Alexandria
Functional: PBE
Structure: relaxed

abc: 6.4703 6.4703 6.4703
angles: 133.97 130.46 69.93
Atoms (fractional coordinates):
Sr 0.1834 0.1834 0.0000
Sr 0.8166 0.8166 0.0000
Li 0.2670 0.5000 0.7670
Li 0.7330 0.5000 0.2330
Au 0.5000 0.0000 0.5000

## Properties
ΔE_f = -0.282 eV/atom
V = 29.1 Å³ per atom
magnetic moment = 0.00 Bohr magnetons per cell
excess energy over the best structure of this formula in the dataset = 0 meV/atom
space group = No. 71